Record 1
Crystalline SrHgSbI2 at its relaxed geometry. Source: Alexandria, functional GGA-PBEsol.

Output
excess energy over the best structure of this formula in the dataset: 94.3 meV per atom
formation energy from raw total energies: -0.1713 eV per atom
electronic total energy: -2.2709 eV/atom
calculated volume: 50.54 Å³ per atom
SG: No. 123

Lattice parameters (Å, degrees): 6.198 6.198 6.578 90.00 90.00 90.00
Positions (direct):
1 Sr 0.000 0.000 0.000
2 Hg 0.500 0.500 0.500
3 Sb 0.000 0.000 0.500
4 I 0.000 0.500 0.000
5 I 0.500 0.000 0.000


Record 2
Crystalline SrHgSbI2 at its relaxed geometry. Source: Alexandria, functional GGA-PBEsol.

Output
excess energy over the best structure of this formula in the dataset: 0.0 meV per atom
formation energy from raw total energies: -0.2656 eV per atom
electronic total energy: -2.3652 eV/atom
calculated volume: 37.53 Å³ per atom
SG: No. 123

Lattice parameters (Å, degrees): 5.794 5.794 5.590 90.00 90.00 90.00
Positions (direct):
1 Sr 0.000 0.000 0.000
2 Hg 0.500 0.500 0.500
3 Sb 0.500 0.500 0.000
4 I 0.000 0.500 0.500
5 I 0.500 0.000 0.500